# Ce2CoRe (PBE, optimized geometry)
data_Ce2CoRe
_cell_length_a 2.8997
_cell_length_b 2.8997
_cell_length_c 30.4186
_cell_angle_alpha 90.00
_cell_angle_beta 90.00
_cell_angle_gamma 120.00
_symmetry_space_group_name_H-M 'R -3 m'
_symmetry_Int_Tables_number 166
_symmetry_space_group_name_Hall '-R 3 2"'
loop_
_atom_site_label
_atom_site_type_symbol
_atom_site_fract_x
_atom_site_fract_y
_atom_site_fract_z
Ce1 Ce 0.0000 0.0000 0.0910
Co1 Co 0.0000 0.0000 0.5000
Re1 Re 0.0000 0.0000 0.0000
# - ρ (Mg/m³) = 11.815
# - uncorrected energy (eV per atom) = -7.315
# - formation enthalpy at 0 K (kJ/mol of atoms) = 52.2
# - DOS at the Fermi energy (states/eV/f.u.) = 5.33

# Sm4YN5 (PBE, optimized geometry)
data_Sm4YN5
_cell_length_a 7.9683
_cell_length_b 7.9683
_cell_length_c 5.0556
_cell_angle_alpha 90.00
_cell_angle_beta 90.00
_cell_angle_gamma 90.00
_symmetry_space_group_name_H-M 'I 4'
_symmetry_Int_Tables_number 79
loop_
_symmetry_equiv_pos_as_xyz
'x,y,z'
'-y,x,z'
'-x,-y,z'
'y,-x,z'
'x+1/2,y+1/2,z+1/2'
'-y+1/2,x+1/2,z+1/2'
'-x+1/2,-y+1/2,z+1/2'
'y+1/2,-x+1/2,z+1/2'
loop_
_atom_site_label
_atom_site_type_symbol
_atom_site_fract_x
_atom_site_fract_y
_atom_site_fract_z
Sm1 Sm 0.1003 0.7008 0.0000
Y1 Y 0.0000 0.0000 0.5012
N1 N 0.0000 0.0000 0.9868
N2 N 0.0988 0.7038 0.4911
# - ρ (Mg/m³) = 7.867
# - ΔE_f (raw) (eV/atom) = -1.519
# - uncorrected energy (eV per atom) = -8.216
# - DOS at the Fermi energy (states/eV/f.u.) = 0.45

# TaBe4 (PBE, optimized geometry)
data_TaBe4
_cell_length_a 5.2711
_cell_length_b 5.2711
_cell_length_c 3.6940
_cell_angle_alpha 90.00
_cell_angle_beta 90.00
_cell_angle_gamma 90.00
_symmetry_space_group_name_H-M 'I 4/m m m'
_symmetry_Int_Tables_number 139
_symmetry_space_group_name_Hall '-I 4 2'
loop_
_atom_site_label
_atom_site_type_symbol
_atom_site_fract_x
_atom_site_fract_y
_atom_site_fract_z
Ta1 Ta 0.0000 0.0000 0.0000
Be1 Be 0.0000 0.3114 0.5000
# - ρ (Mg/m³) = 7.022
# - uncorrected energy (eV per atom) = -5.263
# - formation enthalpy at 0 K (kJ/mol of atoms) = 8.6
# - DOS at the Fermi energy (states/eV/f.u.) = 1.94

# Rb2TlPSe4 (PBE, optimized geometry)
data_Rb2TlPSe4
_cell_length_a 8.5602
_cell_length_b 9.1518
_cell_length_c 9.2184
_cell_angle_alpha 85.86
_cell_angle_beta 63.39
_cell_angle_gamma 63.74
_symmetry_space_group_name_H-M 'P 1'
_symmetry_Int_Tables_number 1
loop_
_symmetry_equiv_pos_as_xyz
'x,y,z'
loop_
_atom_site_label
_atom_site_type_symbol
_atom_site_fract_x
_atom_site_fract_y
_atom_site_fract_z
Rb1 Rb 0.0000 0.0000 0.0000
Rb2 Rb 0.0900 0.0469 0.4587
Rb3 Rb 0.1798 0.5055 0.5097
Rb4 Rb 0.5907 0.9632 0.5432
Tl1 Tl 0.3525 0.3899 0.9689
Tl2 Tl 0.8388 0.5371 0.1180
P1 P 0.5208 0.9539 0.9742
P2 P 0.6595 0.5367 0.5509
Se1 Se 0.0360 0.6553 0.1993
Se2 Se 0.1544 0.3075 0.8528
Se3 Se 0.3460 0.7275 0.6454
Se4 Se 0.4720 0.1503 0.1599
Se5 Se 0.4956 0.7458 0.1186
Se6 Se 0.6929 0.3949 0.7570
Se7 Se 0.7113 0.3468 0.3570
Se8 Se 0.8317 0.8642 0.7786
# - ρ (Mg/m³) = 4.194
# - ΔE_f (raw) (eV/atom) = -0.581
# - uncorrected energy (eV per atom) = -3.537

# BaBi3As (PBE, optimized geometry)
data_BaBi3As
_cell_length_a 5.6994
_cell_length_b 5.6994
_cell_length_c 5.6994
_cell_angle_alpha 90.00
_cell_angle_beta 90.00
_cell_angle_gamma 90.00
_symmetry_space_group_name_H-M 'P m -3 m'
_symmetry_Int_Tables_number 221
_symmetry_space_group_name_Hall '-P 4 2 3'
loop_
_atom_site_label
_atom_site_type_symbol
_atom_site_fract_x
_atom_site_fract_y
_atom_site_fract_z
Ba1 Ba 0.0000 0.0000 0.0000
Bi1 Bi 0.0000 0.5000 0.5000
As1 As 0.5000 0.5000 0.5000
# - ρ (Mg/m³) = 7.527
# - uncorrected energy (eV per atom) = -3.714
# - formation enthalpy at 0 K (kJ/mol of atoms) = -6.9
# - DOS at the Fermi energy (states/eV/f.u.) = 5.83

# CsRe2NiSe8 (PBE, optimized geometry)
data_CsRe2NiSe8
_cell_length_a 6.3375
_cell_length_b 6.3375
_cell_length_c 29.9805
_cell_angle_alpha 90.00
_cell_angle_beta 90.00
_cell_angle_gamma 120.00
_symmetry_space_group_name_H-M 'R -3'
_symmetry_Int_Tables_number 148
_symmetry_space_group_name_Hall '-R 3'
loop_
_atom_site_label
_atom_site_type_symbol
_atom_site_fract_x
_atom_site_fract_y
_atom_site_fract_z
Cs1 Cs 0.0000 0.0000 0.0000
Re1 Re 0.0000 0.0000 0.2419
Ni1 Ni 0.0000 0.0000 0.5000
Se1 Se 0.0000 0.0000 0.3184
Se2 Se 0.0035 0.3284 0.5469
# - ρ (Mg/m³) = 5.712
# - ΔE_f (raw) (eV/atom) = -0.248
# - uncorrected energy (eV per atom) = -5.198
# - DOS at the Fermi energy (states/eV/f.u.) = 6.32

# Co2NiSe (PBE, optimized geometry)
data_Co2NiSe
_cell_length_a 3.6702
_cell_length_b 3.6702
_cell_length_c 3.5513
_cell_angle_alpha 90.00
_cell_angle_beta 90.00
_cell_angle_gamma 90.00
_symmetry_space_group_name_H-M 'P 4/m m m'
_symmetry_Int_Tables_number 123
_symmetry_space_group_name_Hall '-P 4 2'
loop_
_atom_site_label
_atom_site_type_symbol
_atom_site_fract_x
_atom_site_fract_y
_atom_site_fract_z
Co1 Co 0.0000 0.5000 0.0000
Ni1 Ni 0.0000 0.0000 0.5000
Se1 Se 0.5000 0.5000 0.5000
# - ρ (Mg/m³) = 8.870
# - ΔE_f (raw) (eV/atom) = 0.201
# - uncorrected energy (eV per atom) = -5.669
# - DOS at the Fermi energy (states/eV/f.u.) = 5.23

# YCl (PBE, optimized geometry)
data_YCl
_cell_length_a 7.3225
_cell_length_b 5.7601
_cell_length_c 10.5272
_cell_angle_alpha 90.00
_cell_angle_beta 90.00
_cell_angle_gamma 90.00
_symmetry_space_group_name_H-M 'P n m a'
_symmetry_Int_Tables_number 62
loop_
_symmetry_equiv_pos_as_xyz
'x,y,z'
'-x,-y,-z'
'-x+1/2,-y,z+1/2'
'x+1/2,y,-z+1/2'
'x+1/2,-y+1/2,-z+1/2'
'-x+1/2,y+1/2,z+1/2'
'-x,y+1/2,-z'
'x,-y+1/2,z'
loop_
_atom_site_label
_atom_site_type_symbol
_atom_site_fract_x
_atom_site_fract_y
_atom_site_fract_z
Y1 Y 0.0485 0.2500 0.0559
Y2 Y 0.2014 0.2500 0.7132
Cl1 Cl 0.1031 0.7500 0.4291
Cl2 Cl 0.2071 0.7500 0.7537
# - ρ (Mg/m³) = 3.721
# - ΔE_f (raw) (eV/atom) = -1.297
# - uncorrected energy (eV per atom) = -5.452
# - DOS at the Fermi energy (states/eV/f.u.) = 1.14

# Np6Se5S (PBE, optimized geometry)
data_Np6Se5S
_cell_length_a 7.0436
_cell_length_b 12.2198
_cell_length_c 7.0577
_cell_angle_alpha 90.00
_cell_angle_beta 109.50
_cell_angle_gamma 90.00
_symmetry_space_group_name_H-M 'C 1 2/m 1'
_symmetry_Int_Tables_number 12
loop_
_symmetry_equiv_pos_as_xyz
'x,y,z'
'-x,-y,-z'
'-x,y,-z'
'x,-y,z'
'x+1/2,y+1/2,z'
'-x+1/2,-y+1/2,-z'
'-x+1/2,y+1/2,-z'
'x+1/2,-y+1/2,z'
loop_
_atom_site_label
_atom_site_type_symbol
_atom_site_fract_x
_atom_site_fract_y
_atom_site_fract_z
Np1 Np 0.2403 0.0000 0.2537
Np2 Np 0.2420 0.1616 0.7425
Se1 Se 0.0000 0.1717 0.0000
Se2 Se 0.0000 0.3343 0.5000
Se3 Se 0.0000 0.5000 0.0000
S1 S 0.0000 0.0000 0.5000
# - ρ (Mg/m³) = 10.723
# - ΔE_f (raw) (eV/atom) = -1.102
# - uncorrected energy (eV per atom) = -9.368
# - DOS at the Fermi energy (states/eV/f.u.) = 48.04

# Tb2HoInO (PBE, optimized geometry)
data_Tb2HoInO
_cell_length_a 4.8117
_cell_length_b 4.8117
_cell_length_c 4.7480
_cell_angle_alpha 90.00
_cell_angle_beta 90.00
_cell_angle_gamma 90.00
_symmetry_space_group_name_H-M 'P 4/m m m'
_symmetry_Int_Tables_number 123
_symmetry_space_group_name_Hall '-P 4 2'
loop_
_atom_site_label
_atom_site_type_symbol
_atom_site_fract_x
_atom_site_fract_y
_atom_site_fract_z
Tb1 Tb 0.0000 0.5000 0.0000
Ho1 Ho 0.0000 0.0000 0.5000
In1 In 0.5000 0.5000 0.5000
O1 O 0.0000 0.0000 0.0000
# - ρ (Mg/m³) = 9.269
# - ΔE_f (raw) (eV/atom) = -1.430
# - uncorrected energy (eV per atom) = -5.737
# - DOS at the Fermi energy (states/eV/f.u.) = 1.49

# TbNdEr2Sc (PBE, optimized geometry)
data_TbNdEr2Sc
_cell_length_a 8.1777
_cell_length_b 11.2355
_cell_length_c 7.0786
_cell_angle_alpha 90.00
_cell_angle_beta 90.00
_cell_angle_gamma 90.00
_symmetry_space_group_name_H-M 'C m c m'
_symmetry_Int_Tables_number 63
_symmetry_space_group_name_Hall '-C 2c 2'
loop_
_atom_site_label
_atom_site_type_symbol
_atom_site_fract_x
_atom_site_fract_y
_atom_site_fract_z
Tb1 Tb 0.0000 0.2326 0.2500
Nd1 Nd 0.0000 0.2308 0.7500
Er1 Er 0.1966 0.0000 0.0000
Sc1 Sc 0.0000 0.4965 0.7500
# - ρ (Mg/m³) = 6.972
# - uncorrected energy (eV per atom) = -4.645
# - formation enthalpy at 0 K (kJ/mol of atoms) = 31.5
# - DOS at the Fermi energy (states/eV/f.u.) = 5.98

# PrMgRh (PBE, optimized geometry)
data_PrMgRh
_cell_length_a 4.5234
_cell_length_b 4.5234
_cell_length_c 3.9336
_cell_angle_alpha 90.00
_cell_angle_beta 90.00
_cell_angle_gamma 120.00
_symmetry_space_group_name_H-M 'P -6 m 2'
_symmetry_Int_Tables_number 187
_symmetry_space_group_name_Hall 'P -6 2'
loop_
_atom_site_label
_atom_site_type_symbol
_atom_site_fract_x
_atom_site_fract_y
_atom_site_fract_z
Pr1 Pr 0.0000 0.0000 0.0000
Mg1 Mg 0.6667 0.3333 0.5000
Rh1 Rh 0.3333 0.6667 0.5000
# - ρ (Mg/m³) = 6.387
# - uncorrected energy (eV per atom) = -4.956
# - formation enthalpy at 0 K (kJ/mol of atoms) = -36.7
# - DOS at the Fermi energy (states/eV/f.u.) = 1.41